1.
{
  "formula": "TlTc2Ir",
  "functional": "SCAN",
  "state": "PBEsol geometry",
  "lattice_angstrom": [[4.693, 0.000, 0.000], [0.000, 4.693, 0.000], [0.000, 0.000, 2.859]],
  "species": ["Tl", "Tc", "Tc", "Ir"],
  "fractional_positions": [[0.000, 0.000, 0.000], [0.000, 0.500, 0.500], [0.500, 0.000, 0.500], [0.500, 0.500, 0.000]],
  "e_tot_ev_per_atom": -52.643,
  "total_magnetization_mub_per_fu": 0.00,
  "dos_ef_per_ev_cell": 5.45,
  "polymorph_energy_ev_per_fu": 0.49,
  "crystal_system": "tetragonal"
}

2.
{
  "formula": "Tl2TcIr",
  "functional": "SCAN",
  "state": "PBEsol geometry",
  "lattice_angstrom": [[-1.522, 2.594, 4.609], [1.522, -2.594, 4.609], [1.522, 2.594, -4.609]],
  "species": ["Tl", "Tl", "Tc", "Ir"],
  "fractional_positions": [[0.247, 0.247, 0.000], [0.753, 0.753, 0.000], [0.500, 0.000, 0.500], [0.000, 0.500, 0.500]],
  "e_tot_ev_per_atom": -61.909,
  "total_magnetization_mub_per_fu": 1.64,
  "dos_ef_per_ev_cell": 2.41,
  "polymorph_energy_ev_per_fu": 0.00,
  "crystal_system": "orthorhombic"
}

3.
{
  "formula": "TlTc2Ir",
  "functional": "SCAN",
  "state": "PBEsol geometry",
  "lattice_angstrom": [[0.000, 3.156, 3.156], [3.156, 0.000, 3.156], [3.156, 3.156, 0.000]],
  "species": ["Tl", "Tc", "Tc", "Ir"],
  "fractional_positions": [[0.000, 0.000, 0.000], [0.250, 0.250, 0.250], [0.750, 0.750, 0.750], [0.500, 0.500, 0.500]],
  "e_tot_ev_per_atom": -52.699,
  "total_magnetization_mub_per_fu": 1.74,
  "dos_ef_per_ev_cell": 3.11,
  "polymorph_energy_ev_per_fu": 0.27,
  "crystal_system": "cubic"
}

4.
{
  "formula": "TlTcIr2",
  "functional": "SCAN",
  "state": "PBEsol geometry",
  "lattice_angstrom": [[0.000, 3.157, 3.157], [3.157, 0.000, 3.157], [3.157, 3.157, 0.000]],
  "species": ["Tl", "Tc", "Ir", "Ir"],
  "fractional_positions": [[0.000, 0.000, 0.000], [0.250, 0.250, 0.250], [0.500, 0.500, 0.500], [0.750, 0.750, 0.750]],
  "e_tot_ev_per_atom": -61.749,
  "total_magnetization_mub_per_fu": 0.00,
  "dos_ef_per_ev_cell": 2.21,
  "polymorph_energy_ev_per_fu": 0.69,
  "crystal_system": "cubic"
}

5.
{
  "formula": "TcIr2W",
  "functional": "SCAN",
  "state": "PBEsol geometry",
  "lattice_angstrom": [[2.732, 0.000, 0.000], [0.000, 4.382, 0.000], [0.000, 0.000, 4.779]],
  "species": ["Tc", "Ir", "Ir", "W"],
  "fractional_positions": [[0.000, 0.000, 0.000], [0.500, 0.000, 0.496], [0.500, 0.500, 0.154], [0.000, 0.500, 0.665]],
  "e_tot_ev_per_atom": -62.153,
  "total_magnetization_mub_per_fu": 0.00,
  "dos_ef_per_ev_cell": 1.73,
  "polymorph_energy_ev_per_fu": 0.00,
  "crystal_system": "orthorhombic"
}

6.
{
  "formula": "TcIr2W",
  "functional": "SCAN",
  "state": "PBEsol geometry",
  "lattice_angstrom": [[0.000, 3.084, 3.084], [3.084, 0.000, 3.084], [3.084, 3.084, 0.000]],
  "species": ["Tc", "Ir", "Ir", "W"],
  "fractional_positions": [[0.000, 0.000, 0.000], [0.250, 0.250, 0.250], [0.500, 0.500, 0.500], [0.750, 0.750, 0.750]],
  "e_tot_ev_per_atom": -61.510,
  "total_magnetization_mub_per_fu": 0.00,
  "dos_ef_per_ev_cell": 3.97,
  "polymorph_energy_ev_per_fu": 2.57,
  "crystal_system": "cubic"
}

Calculated values (eV per formula unit) of energy of formation for the records, taken in order: 3.004 3.240 2.782 2.619 -1.666 0.904.